a:
Mn2InF | PBE+U | relaxed

Output
size of the total moment: 18.78 μB/cell

abc: 6.8504 6.8504 5.9139
angles: 54.61 54.61 90.00
With the nearest neighbours (Å) after each atom.
Fractional coordinates of all 8 atoms:
Mn: 0.3750 0.4564 0.7500  2 F 2.23
F: 0.2500 0.7500 0.5000  4 Mn 2.23
F: 0.5000 0.5000 0.0000  4 Mn 2.23
In: 0.7500 0.2500 0.5000  8 Mn 2.97-3.28
In: 0.0000 0.0000 0.0000  8 Mn 2.97-3.28
Mn: 0.8750 0.7936 0.7500  2 F 2.23
Mn: 0.2064 0.6250 0.2500  2 F 2.23
Mn: 0.5436 0.1250 0.2500  2 F 2.23

b:
Mn2InF | PBE+U | relaxed

Output
size of the total moment: 8.63 μB/cell

abc: 4.7481 4.7481 4.7481
angles: 60.00 60.00 60.00
With the nearest neighbours (Å) after each atom.
Fractional coordinates of all 4 atoms:
Mn: 0.7500 0.7500 0.7500  4 In 2.91, 4 F 2.91
F: 0.0000 0.0000 0.0000  8 Mn 2.91
In: 0.5000 0.5000 0.5000  8 Mn 2.91
Mn: 0.2500 0.2500 0.2500  4 F 2.91, 4 In 2.91

Energies, relative to the best one, in eV/atom: a 0.000; b 0.269.

a:
MnInF3 | PBE+U | relaxed

Output
size of the total moment: 5.73 μB/cell

abc: 4.4991 4.4991 4.4991
angles: 90.00 90.00 90.00
With the nearest neighbours (Å) after each atom.
Fractional coordinates of all 5 atoms:
In: 0.0000 0.0000 0.0000  6 F 2.25
F: 0.5000 0.0000 0.0000  2 In 2.25
Mn: 0.5000 0.5000 0.5000  12 F 3.18
F: 0.0000 0.5000 0.0000  2 In 2.25
F: 0.0000 0.0000 0.5000  2 In 2.25

b:
MnInF3 | PBE+U | relaxed

Output
size of the total moment: 9.99 μB/cell

abc: 4.2139 6.0158 7.5540
angles: 97.77 90.00 110.50
With the nearest neighbours (Å) after each atom.
Fractional coordinates of all 10 atoms:
F: 0.1784 0.3568 0.6594  1 Mn 2.09
F: 0.3279 0.6558 0.0391  3 Mn 2.16-2.24
Mn: 0.1339 0.2678 0.9186  6 F 2.09-2.24
F: 0.0584 0.1167 0.1678  2 Mn 2.17
Mn: 0.8661 0.7322 0.0814  6 F 2.09-2.24
F: 0.6721 0.3442 0.9609  3 Mn 2.16-2.24
In: 0.3834 0.7668 0.6194  1 F 2.37
F: 0.8216 0.6432 0.3406  1 Mn 2.09
In: 0.6166 0.2332 0.3806  1 F 2.37
F: 0.9416 0.8833 0.8322  2 Mn 2.17

Energies, relative to the best one, in eV/atom: a 0.694; b 0.000.

a:
MnIn3F | PBE+U | relaxed

Output
size of the total moment: 3.32 μB/cell

abc: 5.3389 5.3389 5.3389
angles: 90.00 90.00 90.00
With the nearest neighbours (Å) after each atom.
Fractional coordinates of all 5 atoms:
In: 0.0000 0.5000 0.0000  2 Mn 2.67
F: 0.5000 0.5000 0.5000  12 In 3.78
Mn: 0.0000 0.0000 0.0000  6 In 2.67
In: 0.5000 0.0000 0.0000  2 Mn 2.67
In: 0.0000 0.0000 0.5000  2 Mn 2.67

b:
MnIn3F | PBE+U | relaxed

Output
size of the total moment: 4.62 μB/cell

abc: 4.9812 4.9812 4.9812
angles: 90.00 90.00 90.00
With the nearest neighbours (Å) after each atom.
Fractional coordinates of all 5 atoms:
Mn: 0.5000 0.5000 0.5000  12 In 3.52
In: 0.0000 0.5000 0.0000  2 F 2.49
In: 0.0000 0.0000 0.5000  2 F 2.49
In: 0.5000 0.0000 0.0000  2 F 2.49
F: 0.0000 0.0000 0.0000  6 In 2.49

Energies, relative to the best one, in eV/atom: a 0.350; b 0.000.

a:
MnInSb2F | PBE+U | relaxed

Output
size of the total moment: 4.07 μB/cell

abc: 5.6500 3.8801 5.6500
angles: 90.00 90.00 90.00
With the nearest neighbours (Å) after each atom.
Fractional coordinates of all 5 atoms:
Sb: 0.0000 0.0000 0.5000  2 Mn 2.83
Mn: 0.0000 0.0000 0.0000  2 F 1.94
F: 0.0000 0.5000 0.0000  2 Mn 1.94
In: 0.5000 0.5000 0.5000  8 Sb 3.43
Sb: 0.5000 0.0000 0.0000  2 Mn 2.83

b:
MnInSb2F | PBE+U | relaxed

Output
size of the total moment: 4.82 μB/cell

abc: 4.9579 4.9428 4.9579
angles: 90.00 90.00 90.00
With the nearest neighbours (Å) after each atom.
Fractional coordinates of all 5 atoms:
Sb: 0.0000 0.0000 0.5000  2 F 2.48
In: 0.0000 0.5000 0.0000  2 F 2.47
Sb: 0.5000 0.0000 0.0000  2 F 2.48
Mn: 0.5000 0.5000 0.5000  8 Sb 3.50, 4 In 3.51
F: 0.0000 0.0000 0.0000  2 In 2.47, 4 Sb 2.48

Energies, relative to the best one, in eV/atom: a 0.000; b 0.350.

a:
InMo3F | PBE+U | relaxed

Output
size of the total moment: 1.14 μB/cell

abc: 4.3369 4.3369 4.3369
angles: 90.00 90.00 90.00
With the nearest neighbours (Å) after each atom.
Fractional coordinates of all 5 atoms:
F: 0.0000 0.0000 0.0000  6 Mo 2.17
In: 0.5000 0.5000 0.5000  12 Mo 3.07
Mo: 0.5000 0.0000 0.0000  2 F 2.17
Mo: 0.0000 0.5000 0.0000  2 F 2.17
Mo: 0.0000 0.0000 0.5000  2 F 2.17

b:
InMo3F | PBE+U | relaxed

Output
size of the total moment: 13.51 μB/cell

abc: 5.5318 5.5318 5.5318
angles: 90.00 90.00 90.00
With the nearest neighbours (Å) after each atom.
Fractional coordinates of all 5 atoms:
Mo: 0.0000 0.0000 0.5000  2 In 2.77
Mo: 0.0000 0.5000 0.0000  2 In 2.77
Mo: 0.5000 0.0000 0.0000  2 In 2.77
In: 0.0000 0.0000 0.0000  6 Mo 2.77
F: 0.5000 0.5000 0.5000  12 Mo 3.91

Energies, relative to the best one, in eV/atom: a 0.000; b 0.330.

a:
InMo2F | PBE+U | relaxed

Output
size of the total moment: 16.34 μB/cell

abc: 5.6960 5.6960 7.6772
angles: 68.22 68.22 90.00
With the nearest neighbours (Å) after each atom.
Fractional coordinates of all 8 atoms:
In: 0.7500 0.2500 0.5000  4 Mo 3.00
Mo: 0.2395 0.6250 0.2500  2 F 2.30
F: 0.2500 0.7500 0.5000  4 Mo 2.30
In: 0.0000 0.0000 0.0000  4 Mo 3.00
Mo: 0.5105 0.1250 0.2500  2 F 2.30
Mo: 0.3750 0.4895 0.7500  2 F 2.30
F: 0.5000 0.5000 0.0000  4 Mo 2.30
Mo: 0.8750 0.7605 0.7500  2 F 2.30

b:
InMo2F | PBE+U | relaxed

Output
size of the total moment: 0.00 μB/cell

abc: 4.5461 4.5461 4.5461
angles: 60.00 60.00 60.00
With the nearest neighbours (Å) after each atom.
Fractional coordinates of all 4 atoms:
Mo: 0.7500 0.7500 0.7500  4 In 2.78, 4 F 2.78
F: 0.0000 0.0000 0.0000  8 Mo 2.78
In: 0.5000 0.5000 0.5000  8 Mo 2.78
Mo: 0.2500 0.2500 0.2500  4 F 2.78, 4 In 2.78

Energies, relative to the best one, in eV/atom: a 0.000; b 0.550.

a:
In3MoF | PBE+U | relaxed

Output
size of the total moment: 4.28 μB/cell

abc: 4.9887 4.9887 4.9887
angles: 90.00 90.00 90.00
With the nearest neighbours (Å) after each atom.
Fractional coordinates of all 5 atoms:
In: 0.5000 0.0000 0.0000  2 F 2.49
In: 0.0000 0.0000 0.5000  2 F 2.49
Mo: 0.5000 0.5000 0.5000  12 In 3.53
F: 0.0000 0.0000 0.0000  6 In 2.49
In: 0.0000 0.5000 0.0000  2 F 2.49

b:
In3MoF | PBE+U | relaxed

Output
size of the total moment: 3.75 μB/cell

abc: 5.4858 5.4858 5.4858
angles: 90.00 90.00 90.00
With the nearest neighbours (Å) after each atom.
Fractional coordinates of all 5 atoms:
F: 0.5000 0.5000 0.5000  12 In 3.88
In: 0.5000 0.0000 0.0000  2 Mo 2.74
In: 0.0000 0.0000 0.5000  2 Mo 2.74
In: 0.0000 0.5000 0.0000  2 Mo 2.74
Mo: 0.0000 0.0000 0.0000  6 In 2.74

Energies, relative to the best one, in eV/atom: a 0.000; b 0.368.

a:
InMoOF2 | PBE+U | relaxed

Output
size of the total moment: 4.95 μB/cell

abc: 4.3847 4.3847 4.1201
angles: 90.00 90.00 90.00
With the nearest neighbours (Å) after each atom.
Fractional coordinates of all 5 atoms:
Mo: 0.5000 0.5000 0.5000  8 F 3.01, 4 O 3.10
In: 0.0000 0.0000 0.0000  2 O 2.06, 4 F 2.19
F: 0.0000 0.5000 0.0000  2 In 2.19
O: 0.0000 0.0000 0.5000  2 In 2.06
F: 0.5000 0.0000 0.0000  2 In 2.19

b:
InMoOF2 | PBE+U | relaxed

Output
size of the total moment: 3.00 μB/cell

abc: 4.2922 4.2922 4.2498
angles: 90.00 90.00 90.00
With the nearest neighbours (Å) after each atom.
Fractional coordinates of all 5 atoms:
In: 0.5000 0.5000 0.5000  8 F 3.02, 4 O 3.04
O: 0.0000 0.0000 0.5000  2 Mo 2.12
F: 0.0000 0.5000 0.0000  2 Mo 2.15
F: 0.5000 0.0000 0.0000  2 Mo 2.15
Mo: 0.0000 0.0000 0.0000  2 O 2.12, 4 F 2.15

Energies, relative to the best one, in eV/atom: a 0.489; b 0.000.